VASP calculation (PBE) on an optimized crystal structure of Pm6DyEr3Th2.

Cell and atoms, written as extended XYZ:
```
12
Lattice="6.222 0.002 -0.001 -3.107 5.390 -0.001 -1.037 -1.796 11.751" Properties=species:S:1:pos:R:3 pbc="T T T"
Er 4.147 0.003 5.874
Er -2.070 3.594 5.874
Er 1.039 1.798 5.874
Pm -0.014 3.594 8.824
Pm 2.067 3.579 2.930
Pm -1.043 1.813 2.925
Pm 3.120 1.784 8.824
Pm 2.091 0.002 2.925
Pm 0.010 0.017 8.818
Th 3.110 1.799 -0.001
Th 0.004 3.593 -0.001
Dy 0.000 0.000 0.000
```

Output
Crystal system: monoclinic
Raw total energy, eV per atom: -5.10
E_form, eV/f.u.: 0.47